# 1
## AsRh3 (PBE-GGA)

Data for crystalline AsRh3 at its relaxed geometry.

**E_tot**: -0.2452 Ha/atom

Cell: 4.5622 4.5622 2.8182 Å, 90.00 90.00 90.00°
Space group P4/mmm (No. 123)
Symmetry-distinct sites (fractional):
As 0.0000 0.0000 0.0000 x1
Rh 0.0000 0.5000 0.5000 x2
Rh 0.5000 0.5000 0.0000 x1


# 2
## SrTl (PBE-GGA)

Data for crystalline SrTl at its relaxed geometry.

**E_tot**: -0.0795 Ha/atom

Cell: 4.1958 4.1958 10.6088 Å, 90.00 90.00 120.00°
Space group P-3m1 (No. 164)
Symmetry-distinct sites (fractional):
Sr 0.3333 0.6667 0.3321 x2
Tl 0.3333 0.6667 0.9017 x2


# 3
## Tb6PrY2 (PBE-GGA)

Data for crystalline Tb6PrY2 at its relaxed geometry.

**Polymorph energy (0 for the lowest one)**: 0.019 eV/atom

Cell: 7.4306 7.4306 6.1557 Å, 90.00 90.00 120.00°
Space group P-3m1 (No. 164)
Symmetry-distinct sites (fractional):
Tb 0.1873 0.3746 0.2983 x6
Pr 0.0000 0.0000 0.0000 x1
Y 0.3333 0.6667 0.7914 x2


# 4
## TlIn2SnAu4 (PBE-GGA)

Data for crystalline TlIn2SnAu4 at its relaxed geometry.

**E_tot**: -0.1185 Ha/atom

Cell: 8.4112 11.7356 7.8741 Å, 90.00 90.00 90.00°
Space group Fmm2 (No. 42)
Symmetry-distinct sites (fractional):
Tl 0.0000 0.0000 0.0000 x4
In 0.2500 0.2500 0.2524 x8
Sn 0.0000 0.0000 0.4998 x4
Au 0.0000 0.2408 0.5023 x8
Au 0.2501 0.0000 0.2499 x8


| no. | total moment (μB per atom) |
| --- | --- |
| 1 | 0.000 |
| 2 | 0.000 |
| 3 | 0.000 |
| 4 | 0.000 |